No. 1
Li3Nd3Si2Ge: relaxed, PBE.

a = 7.250 Å, b = 7.250 Å, c = 4.343 Å
α = 90.00°, β = 90.00°, γ = 120.00°
Sites, in units of the cell vectors:
Li1 0.000 0.768 0.000
Li2 0.232 0.232 0.000
Li3 0.768 0.000 0.000
Nd1 0.000 0.421 0.500
Nd2 0.421 0.000 0.500
Nd3 0.579 0.579 0.500
Si1 0.333 0.667 0.000
Si2 0.667 0.333 0.000
Ge1 0.000 0.000 0.500

- Calculated total energy: -4.55 eV/atom
- Crystal system: hexagonal
- V: 21.97 Å³ per atom

=====

No. 2
Hf2Os2W3: relaxed, PBE.

a = 7.689 Å, b = 7.689 Å, c = 7.689 Å
α = 33.75°, β = 33.75°, γ = 33.75°
Sites, in units of the cell vectors:
Hf1 0.000 0.000 0.000
Hf2 0.486 0.486 0.486
Os1 0.242 0.242 0.242
Os2 0.738 0.738 0.738
W1 0.120 0.120 0.120
W2 0.619 0.619 0.619
W3 0.872 0.872 0.872

- Calculated total energy: -11.33 eV/atom
- Crystal system: trigonal
- Energy relative to the elements: 0.28 eV per atom
- V: 17.86 Å³ per atom

=====

No. 3
Dy3Mg3InHg2: relaxed, PBE.

a = 7.478 Å, b = 7.478 Å, c = 4.631 Å
α = 90.00°, β = 90.00°, γ = 120.00°
Sites, in units of the cell vectors:
Dy1 0.000 0.569 0.000
Dy2 0.431 0.431 0.000
Dy3 0.569 0.000 0.000
Mg1 0.000 0.245 0.500
Mg2 0.245 0.000 0.500
Mg3 0.755 0.755 0.500
In1 0.000 0.000 0.000
Hg1 0.333 0.667 0.500
Hg2 0.667 0.333 0.500

- Calculated total energy: -2.80 eV/atom
- Crystal system: hexagonal
- V: 24.92 Å³ per atom